[1]
14
Lattice="-2.447 8.106 -0.142 2.768 -2.232 -7.685 -6.544 -4.919 2.164" Properties=species:S:1:pos:R:3 comment="Pr4BiPb2 PBE-GGA relaxed" polymorph_energy_mev_per_atom=0 vol_a3_per_atom=33.39 delta_e_f_mev_per_atom=-675 pbc="T T T"
Pr -0.310 -2.819 -6.053
Pr -2.815 0.846 -4.735
Pr -5.540 3.008 -3.225
Pr -5.669 -2.708 -0.066
Pr 0.455 3.305 -5.825
Pr -6.894 1.344 -0.144
Pr -2.426 2.538 -0.394
Pr -1.692 -1.696 -2.212
Bi 0.000 0.000 0.000
Bi -2.087 3.734 -3.408
Pb -5.061 4.364 0.005
Pb -4.275 0.150 -1.612
Pb -3.409 -2.613 -5.163
Pb 0.300 0.008 -4.557


[2]
5
Lattice="-1.320 4.840 -0.719 -1.494 0.323 4.917 4.667 1.469 1.321" Properties=species:S:1:pos:R:3 comment="HfSi2PbS PBE-GGA relaxed" raw_formation_energy_ev_per_atom=1.397 vol_a3_per_atom=26.45 pbc="T T T"
Pb 0.000 0.000 0.000
S -0.747 0.161 2.458
Hf 0.926 3.316 2.760
Si 2.333 0.735 0.661
Si -0.660 2.420 -0.359


[3]
10
Lattice="6.856 0.000 0.000 0.000 6.856 0.000 0.000 0.000 2.661" Properties=species:S:1:pos:R:3 comment="Al2Co2Re PBE-GGA relaxed" polymorph_energy_mev_per_atom=0 vol_a3_per_atom=12.51 delta_e_f_mev_per_atom=-186 pbc="T T T"
Re 0.000 0.000 0.000
Re 3.428 3.428 0.000
Co 1.119 4.547 1.331
Co 4.547 5.737 1.331
Co 5.737 2.309 1.331
Co 2.309 1.119 1.331
Al 2.502 5.930 0.000
Al 5.930 4.354 0.000
Al 4.354 0.926 0.000
Al 0.926 2.502 0.000